Material: V3NiO6
Method: DFT, PBE with a Hubbard U
State: relaxed

Computed properties:
* VASP energy: -72.83 eV for the cell shown

Lattice parameters (Å, degrees): 5.5114 5.5114 5.5114 54.85 54.85 54.85
Fractional coordinates of all 10 atoms:
V 0.0000 0.0000 0.0000
V 0.2008 0.2008 0.2008
V 0.5012 0.5012 0.5012
Ni 0.7025 0.7025 0.7025
O 0.1109 0.3949 0.7969
O 0.2830 0.9102 0.5999
O 0.3949 0.7969 0.1109
O 0.5999 0.2830 0.9102
O 0.7969 0.1109 0.3949
O 0.9102 0.5999 0.2830